First-principles (GGA-PBE) data for a geometry-optimized La4PrTe7 structure, as listed in Alexandria.

POSCAR file:
```
La4PrTe7
1.0
7.517 -2.227 0.000
7.517 2.227 0.000
-3.457 0.000 13.158
La Pr Te
4 1 7
direct
0.000 0.000 0.000 La
0.186 0.186 0.764 La
0.586 0.586 0.385 La
0.886 0.886 0.574 La
0.771 0.771 0.152 Pr
0.147 0.147 0.226 Te
0.225 0.225 0.525 Te
0.384 0.384 0.074 Te
0.547 0.547 0.624 Te
0.626 0.626 0.925 Te
0.846 0.846 0.791 Te
0.925 0.925 0.357 Te
```

Results
Density = 6.0 g cm⁻³
Total DFT energy (no corrections) = -5.427 eV/atom
Uncorrected formation energy = -1554 meV per atom